Entry from the Alexandria database: a geometry-optimized CsHg2Pd structure (PBE).

The energy above the lowest structure with this stoichiometry is 24 meV/atom. The calculation puts the energy of formation at -0.20 eV/atom. The value obtained for the raw total energy is -1.87 eV per atom.

The structure belongs to space group R3m (No. 160, hexagonal axes); the cell edges are 4.8731, 4.8731 and 19.6871 Å and the angles 90.00°, 90.00° and 120.00°. The distinct sites, in fractional coordinates, are Cs at (0.0000, 0.0000, 0.0000), Hg at (0.0000, 0.0000, 0.1926), Hg at (0.0000, 0.0000, 0.4669) and Pd at (0.0000, 0.0000, 0.8202).